1.
Entry from OQMD via LeMat-Bulk: a geometry-optimized Ga5NiOs structure (PBE).

Cell: 4.276 4.276 5.826 Å, 90.00 90.00 90.00°
Atoms (fractional coordinates):
Os  0.000  0.000  0.000
Ga  0.000  0.500  0.278
Ni  0.000  0.000  0.500
Ga  0.500  0.500  0.000
Ga  0.000  0.500  0.722
Ga  0.500  0.000  0.278
Ga  0.500  0.000  0.722

## Properties
As for the space group: P4/mmm. As for the crystal system: tetragonal.

2.
Entry from OQMD via LeMat-Bulk: a geometry-optimized Si2TcMo structure (PBE).

Cell: 4.336 4.336 4.336 Å, 60.00 60.00 60.00°
Atoms (fractional coordinates):
Si  0.000  0.000  0.000
Si  0.250  0.250  0.250
Mo  0.500  0.500  0.500
Tc  0.750  0.750  0.750

## Properties
As for the space group: F-43m. As for the crystal system: cubic.

3.
Entry from OQMD via LeMat-Bulk: a geometry-optimized Nb3Zn3N structure (PBE).

Cell: 8.286 8.286 8.286 Å, 120.00 90.00 120.00°
Atoms (fractional coordinates):
N  0.875  0.250  0.625
Zn  0.667  0.665  0.333
Nb  0.682  0.364  0.682
Nb  0.432  0.500  0.568
Nb  0.068  0.500  0.568
Zn  0.083  0.835  0.917
Nb  0.682  0.000  0.682
Nb  0.682  0.000  0.318
Nb  0.318  0.000  0.318
Nb  0.318  0.636  0.318
Zn  0.875  0.750  0.125
N  0.375  0.250  0.625
Zn  0.752  0.835  0.917
Zn  0.667  0.335  0.333
Zn  0.875  0.250  0.125
Nb  0.318  0.000  0.682
Zn  0.083  0.165  0.917
Zn  0.875  0.750  0.625
Zn  0.083  0.165  0.248
N  0.375  0.750  0.625
N  0.375  0.750  0.125
Zn  0.998  0.665  0.333
Zn  0.667  0.335  0.002
Zn  0.375  0.250  0.125
Nb  0.068  0.500  0.932
Nb  0.432  0.864  0.932
Nb  0.068  0.136  0.568
Nb  0.432  0.500  0.932

## Properties
As for the space group: Fd-3m. As for the crystal system: cubic.

4.
Entry from OQMD via LeMat-Bulk: a geometry-optimized Er2TaGa2 structure (PBE).

Cell: 7.187 7.187 4.195 Å, 90.00 90.00 90.00°
Atoms (fractional coordinates):
Ga  0.128  0.628  0.000
Er  0.678  0.178  0.500
Ta  0.000  0.000  0.000
Er  0.322  0.822  0.500
Ga  0.872  0.372  0.000
Ta  0.500  0.500  0.000
Ga  0.628  0.872  0.000
Er  0.178  0.322  0.500
Ga  0.372  0.128  0.000
Er  0.822  0.678  0.500

## Properties
As for the space group: P4/mbm. As for the crystal system: tetragonal.

5.
Entry from OQMD via LeMat-Bulk: a geometry-optimized La2PrB2Pd2N3 structure (PBE).

Cell: 10.748 10.748 10.748 Å, 159.56 159.56 29.06°
Atoms (fractional coordinates):
Pd  0.250  0.750  0.500
B  0.188  0.188  0.000
N  0.120  0.120  0.000
Pd  0.750  0.250  0.500
La  0.621  0.621  0.000
Pr  0.000  0.000  0.000
N  0.880  0.880  0.000
La  0.379  0.379  0.000
B  0.812  0.812  0.000
N  0.500  0.500  0.000

## Properties
As for the space group: I4/mmm. As for the crystal system: tetragonal.

6.
Entry from OQMD via LeMat-Bulk: a geometry-optimized CsInAg structure (PBE).

Cell: 5.653 5.653 5.653 Å, 60.00 60.00 60.00°
Atoms (fractional coordinates):
Cs  0.750  0.750  0.750
In  0.000  0.000  0.000
Ag  0.250  0.250  0.250

## Properties
The calculation puts the energy relative to the lowest polymorph listed for this composition at 86 meV per atom. As for the space group: F-43m. As for the crystal system: cubic.

7.
Entry from OQMD via LeMat-Bulk: a geometry-optimized ErTcNO structure (PBE).

Cell: 4.741 4.741 4.353 Å, 90.00 90.00 90.00°
Atoms (fractional coordinates):
O  0.750  0.250  0.000
Tc  0.250  0.250  0.001
N  0.750  0.750  0.499
Tc  0.750  0.750  0.999
O  0.250  0.750  0.000
Er  0.250  0.750  0.500
Er  0.750  0.250  0.500
N  0.250  0.250  0.501

## Properties
The calculation puts the energy relative to the lowest polymorph listed for this composition at 657 meV per atom. As for the space group: P4/mmm. As for the crystal system: tetragonal.

8.
Entry from OQMD via LeMat-Bulk: a geometry-optimized DyYNi structure (PBE).

Cell: 4.736 4.736 4.736 Å, 60.00 60.00 60.00°
Atoms (fractional coordinates):
Dy  0.250  0.250  0.250
Y  0.750  0.750  0.750
Ni  0.000  0.000  0.000

## Properties
The calculation puts the energy relative to the lowest polymorph listed for this composition at 0 meV per atom. As for the space group: F-43m. For the energy relative to the elements, the calculation gives -0.1457 eV per atom. As for the crystal system: cubic.

no.,final energy (eV/atom)
1,-4.577
2,-7.949
3,-6.561
4,-5.676
5,-7.410
6,-1.776
7,-8.121
8,-5.691